ScBAs2Se | PBE-GGA | optimized geometry

Properties
The calculation puts the energy above the most stable polymorph in this dataset at 0 meV/atom. The space group is P4/mmm (123). As for the total energy: -4.925 eV per atom. For the total moment, the calculation gives 0.00 μB per cell.

Lattice parameters (Å, degrees): 4.4378 4.4378 4.5635 90.00 90.00 90.00
With the nearest neighbours (Å) after each atom.
Fractional coordinates of all 5 atoms:
1 Sc 0.0000 0.0000 0.0000  4 Se 3.14, 8 As 3.18
2 B 0.5000 0.5000 0.5000  4 As 2.22, 2 Se 2.28
3 As 0.0000 0.5000 0.5000  2 B 2.22
4 As 0.5000 0.0000 0.5000  2 B 2.22
5 Se 0.5000 0.5000 0.0000  2 B 2.28

=====

ScBAsSe2 | PBE-GGA | optimized geometry

Properties
The calculation puts the energy above the most stable polymorph in this dataset at 0 meV/atom. The space group is P4/mmm (123). As for the total energy: -4.821 eV per atom. For the total moment, the calculation gives 0.00 μB per cell.

Lattice parameters (Å, degrees): 4.6578 4.6578 4.2159 90.00 90.00 90.00
With the nearest neighbours (Å) after each atom.
Fractional coordinates of all 5 atoms:
1 Sc 0.0000 0.0000 0.0000  8 Se 3.14, 4 As 3.29
2 B 0.5000 0.5000 0.5000  2 As 2.11, 4 Se 2.33
3 As 0.5000 0.5000 0.0000  2 B 2.11
4 Se 0.0000 0.5000 0.5000  2 B 2.33
5 Se 0.5000 0.0000 0.5000  2 B 2.33